Below is a geometry-optimized CrNO structure, with properties calculated at the GGA+U level.

E_tot ... -6.972 eV per atom
Excess energy over the best structure of this formula in the dataset ... 87.2 kJ per mole of atoms
N(E_F) ... 0.69 states/eV/f.u.

abc: 3.2305 3.2305 9.6495
angles: 90.00 90.00 120.00
Space group R3m (No. 160, hexagonal axes)
Symmetry-distinct sites (fractional):
Cr1 0.0000 0.0000 0.0000 x3
N1 0.0000 0.0000 0.7107 x3
O1 0.0000 0.0000 0.2162 x3